w) First-principles (PBE-GGA) data for a relaxed ZnBiSbO crystal, as listed in OQMD via LeMat-Bulk.

Results
Crystal system: orthorhombic

CIF file:
```
data_ZnBiSbO
_cell_length_a 4.523
_cell_length_b 14.895
_cell_length_c 4.946
_cell_angle_alpha 90.00
_cell_angle_beta 90.00
_cell_angle_gamma 90.00
_symmetry_space_group_name_H-M 'C m c m'
_symmetry_Int_Tables_number 63
_symmetry_space_group_name_Hall '-C 2c 2'
loop_
_atom_site_label
_atom_site_type_symbol
_atom_site_fract_x
_atom_site_fract_y
_atom_site_fract_z
_atom_site_occupancy
Zn1 Zn 0.000 0.000 0.000 1
Bi1 Bi 0.000 0.384 0.250 1
Sb1 Sb 0.000 0.167 0.250 1
O1 O 0.000 0.354 0.750 1
```


x) First-principles (PBE-GGA) data for a relaxed ZnBiSbO crystal, as listed in OQMD via LeMat-Bulk.

Results
Crystal system: orthorhombic

CIF file:
```
data_ZnBiSbO
_cell_length_a 6.146
_cell_length_b 6.597
_cell_length_c 8.280
_cell_angle_alpha 90.00
_cell_angle_beta 90.00
_cell_angle_gamma 90.00
_symmetry_space_group_name_H-M 'P 21 21 21'
_symmetry_Int_Tables_number 19
loop_
_symmetry_equiv_pos_as_xyz
'x,y,z'
'-x+1/2,-y,z+1/2'
'x+1/2,-y+1/2,-z'
'-x,y+1/2,-z+1/2'
loop_
_atom_site_label
_atom_site_type_symbol
_atom_site_fract_x
_atom_site_fract_y
_atom_site_fract_z
_atom_site_occupancy
Zn1 Zn 0.227 0.150 0.015 1
Bi1 Bi 0.073 0.707 0.114 1
Sb1 Sb 0.007 0.500 0.744 1
O1 O 0.008 0.807 0.376 1
```


Which one is the most stable? From the structures above, x).